Density functional theory data (PBE-GGA) for crystalline YMgI at its relaxed geometry.

Structure (POSCAR):
```
YMgI
1.0
16.143 0.000 0.000
0.000 3.817 0.000
0.000 0.000 6.615
Y Mg I
4 4 4
Direct
0.159 0.000 0.000 Y
0.159 0.500 0.500 Y
0.841 0.000 0.000 Y
0.841 0.500 0.500 Y
0.000 0.000 0.667 Mg
0.000 0.500 0.167 Mg
0.500 0.000 0.922 Mg
0.500 0.500 0.422 Mg
0.295 0.000 0.667 I
0.295 0.500 0.167 I
0.705 0.000 0.667 I
0.705 0.500 0.167 I
```

Values from the calculation:
Its uncorrected formation energy is -0.3770 eV/atom. The total DFT energy (no corrections) comes out at -0.2631 Ry/atom. As for the space group: Amm2.

---

Density functional theory data (PBE-GGA) for crystalline PaPd4Pt at its relaxed geometry.

Structure (POSCAR):
```
PaPd4Pt
1.0
5.066 0.000 0.000
0.000 5.066 0.000
0.000 0.000 8.814
Pa Pd Pt
2 8 2
Direct
0.000 0.500 0.250 Pa
0.500 0.000 0.750 Pa
0.085 0.252 0.890 Pd
0.085 0.748 0.610 Pd
0.252 0.085 0.390 Pd
0.252 0.915 0.110 Pd
0.748 0.085 0.110 Pd
0.748 0.915 0.390 Pd
0.915 0.252 0.610 Pd
0.915 0.748 0.890 Pd
0.500 0.500 0.000 Pt
0.500 0.500 0.500 Pt
```

Values from the calculation:
The calculation puts the energy above the most stable polymorph in this dataset at 2.44 eV/f.u. The total DFT energy (no corrections) comes out at -0.4666 Ry/atom. As for the space group: P-42c. The formation energy comes out at -297 meV per atom.

---

Density functional theory data (PBE-GGA) for crystalline PmFeNiGe2 at its relaxed geometry.

Structure (POSCAR):
```
PmFeNiGe2
1.0
4.131 0.000 0.000
0.000 4.131 0.000
0.000 0.000 9.969
Pm Fe Ni Ge
2 2 2 4
Direct
0.000 0.000 0.000 Pm
0.500 0.500 0.500 Pm
0.000 0.500 0.750 Fe
0.500 0.000 0.250 Fe
0.000 0.500 0.250 Ni
0.500 0.000 0.750 Ni
0.000 0.000 0.368 Ge
0.000 0.000 0.632 Ge
0.500 0.500 0.132 Ge
0.500 0.500 0.868 Ge
```

Values from the calculation:
The total DFT energy (no corrections) comes out at -0.4568 Ry/atom. As for the space group: I-4m2. The formation energy comes out at -570 meV per atom.

---

- Which value of total DFT energy (no corrections) does entry 1 give?
  -0.2631 Ry/atom